Record 1
A plane-wave DFT calculation with GGA-PBEsol was carried out for crystalline BCl2F at its relaxed geometry.

It has space group Fm-3m (No. 225), with a = 5.7784 Å, b = 5.7784 Å, c = 5.7784 Å, α = 90.00°, β = 90.00° and γ = 90.00°. The inequivalent atoms are B at (0.0000, 0.0000, 0.0000), Cl at (0.2500, 0.2500, 0.2500) and F at (0.0000, 0.0000, 0.5000).

The value obtained for the uncorrected formation energy is 3.16 eV/f.u. The density comes out at 3.47 g/cm³. The density of states at the Fermi level comes out at 0.60 states/eV/atom.



Record 2
A plane-wave DFT calculation with GGA-PBEsol was carried out for crystalline BaInCo2 at its relaxed geometry.

It has space group Pmmm (No. 47), with a = 3.2972 Å, b = 3.6091 Å, c = 6.9239 Å, α = 90.00°, β = 90.00° and γ = 90.00°. The inequivalent atoms are Ba at (0.0000, 0.0000, 0.0000), In at (0.0000, 0.0000, 0.5000) and Co at (0.5000, 0.5000, 0.3398).

The density comes out at 7.46 g/cm³. The value obtained for the energy of formation is 1.74 eV per formula unit. The density of states at the Fermi level comes out at 1.21 states/eV/atom.



Record 3
A plane-wave DFT calculation with GGA-PBEsol was carried out for crystalline BeSb2As at its relaxed geometry.

It has space group Cmm2 (No. 35), with a = 3.7539 Å, b = 5.1229 Å, c = 8.5254 Å, α = 90.00°, β = 90.00° and γ = 90.00°. The inequivalent atoms are Be at (0.0000, 0.0000, 0.0000), Sb at (0.0000, 0.0000, 0.4548), Sb at (0.0000, 0.5000, 0.7779) and As at (0.0000, 0.5000, 0.1437).

The excess energy over the best structure of this formula in the dataset comes out at 170 meV per atom. The value obtained for the uncorrected formation energy is 1.24 eV/f.u. The density comes out at 6.63 g/cm³. The density of states at the Fermi level comes out at 0.46 states/eV/atom.



Record 4
A plane-wave DFT calculation with GGA-PBEsol was carried out for crystalline CaV5O7 at its relaxed geometry.

It has space group Cmcm (No. 63), with a = 3.0193 Å, b = 9.3749 Å, c = 17.7225 Å, α = 90.00°, β = 90.00° and γ = 90.00°. The inequivalent atoms are Ca at (0.0000, 0.2009, 0.2500), V at (0.0000, 0.0000, 0.0000), V at (0.0000, 0.2968, 0.5720), V at (0.0000, 0.4539, 0.1476), O at (0.0000, 0.0844, 0.1109), O at (0.0000, 0.1856, 0.6669), O at (0.0000, 0.3564, 0.0400) and O at (0.0000, 0.4829, 0.7500).

The value obtained for the uncorrected formation energy is -27.70 eV/f.u. The density comes out at 5.39 g/cm³. The density of states at the Fermi level comes out at 0.64 states/eV/atom.



Record 5
A plane-wave DFT calculation with GGA-PBEsol was carried out for crystalline RbNdTiNbO6F at its relaxed geometry.

It has space group P4mm (No. 99), with a = 3.8046 Å, b = 3.8046 Å, c = 11.1873 Å, α = 90.00°, β = 90.00° and γ = 90.00°. The inequivalent atoms are Rb at (0.0000, 0.0000, 0.0000), Nd at (0.0000, 0.0000, 0.4522), Ti at (0.5000, 0.5000, 0.2646), Nb at (0.5000, 0.5000, 0.6808), O at (0.0000, 0.5000, 0.3182), O at (0.0000, 0.5000, 0.6269), O at (0.5000, 0.5000, 0.1129), O at (0.5000, 0.5000, 0.8399) and F at (0.5000, 0.5000, 0.4728).

The value obtained for the uncorrected formation energy is -32.60 eV/f.u. The density comes out at 4.98 g/cm³. The density of states at the Fermi level comes out at 0.00 states/eV/atom.



Record 6
A plane-wave DFT calculation with GGA-PBEsol was carried out for crystalline MnNi5 at its relaxed geometry.

It has space group Amm2 (No. 38), with a = 4.0175 Å, b = 2.4885 Å, c = 12.7378 Å, α = 90.00°, β = 90.00° and γ = 90.00°. The inequivalent atoms are Mn at (0.0000, 0.0000, 0.0000), Ni at (0.0000, 0.0000, 0.3327), Ni at (0.0000, 0.0000, 0.6665), Ni at (0.5000, 0.0000, 0.1146), Ni at (0.5000, 0.0000, 0.4459) and Ni at (0.5000, 0.0000, 0.7802).

The density comes out at 9.09 g/cm³. The value obtained for the energy of formation is 0.10 eV per formula unit. The density of states at the Fermi level comes out at 1.51 states/eV/atom.